This record from Alexandria via LeMat-Bulk describes crystalline VP2O6 at its relaxed geometry. The functional is GGA+U.

Computed properties:
The value obtained for the total magnetization is 2.0 Bohr magnetons per cell. Its density of states at the Fermi level is 0.0000 states/eV/atom. Its space-group type is C2/c (15). The value obtained for the final energy is -0.261 Ha/atom.

abc: 6.3133 6.3133 7.9619
angles: 82.55 82.55 97.09
With the nearest neighbours (Å) after each atom.
Fractional positions:
V (0.2003, 0.7997, 0.2500)  1 O 1.61
V (0.7997, 0.2003, 0.7500)  1 O 1.61
P (0.1845, 0.6286, 0.6811)  3 O 1.50-1.68
P (0.3714, 0.8155, 0.8189)  3 O 1.50-1.68
P (0.8155, 0.3714, 0.3189)  3 O 1.50-1.68
P (0.6286, 0.1845, 0.1811)  3 O 1.50-1.68
O (0.2112, 0.6657, 0.4887)  1 P 1.50
O (0.3343, 0.7888, 0.0113)  1 P 1.50
O (0.7888, 0.3343, 0.5113)  1 P 1.50
O (0.6657, 0.2112, 0.9887)  1 P 1.50
O (0.0067, 0.5275, 0.2248)  1 P 1.51
O (0.4725, 0.9933, 0.2752)  1 P 1.51
O (0.9933, 0.4725, 0.7752)  1 P 1.51
O (0.5275, 0.0067, 0.7248)  1 P 1.51
O (0.0297, 0.9703, 0.2500)  1 V 1.61
O (0.9703, 0.0297, 0.7500)  1 V 1.61
O (0.5821, 0.4179, 0.2500)  2 P 1.68
O (0.4179, 0.5821, 0.7500)  2 P 1.68